Here is a relaxed PmEr3Tm6 crystal from Alexandria. Energies are from PBE.

Properties
- polymorph energy (0 for the lowest one) (meV/atom) = 0
- energy of formation from the pure elements (eV per atom) = 0.15
- V (Å³/f.u.) = 311.2

Lattice parameters (Å, degrees): 10.8611 18.7264 6.1193 90.00 90.00 90.00
Closest atoms and distances in Å follow each position.
Space group Cmc2_1 (No. 36)
Asymmetric unit:
Pm1 0.0000 0.2093 0.0000 (multiplicity 4)  3 Er 3.23-3.45, 7 Tm 3.23-3.54
Er1 0.0000 0.3910 0.9090 (multiplicity 4)  5 Tm 3.26-3.49, 1 Pm 3.45, 2 Er 3.61
Er2 0.1746 0.1076 0.2917 (multiplicity 8)  1 Pm 3.23, 6 Tm 3.24-3.58, 1 Er 3.61
Tm1 0.0000 0.0483 0.7532 (multiplicity 4)  1 Pm 3.37, 4 Er 3.49-3.58, 4 Tm 3.55-3.69
Tm2 0.0000 0.2894 0.4756 (multiplicity 4)  6 Tm 3.26-3.62, 1 Er 3.26, 2 Pm 3.27-3.54
Tm3 0.1655 0.4528 0.3604 (multiplicity 8)  4 Er 3.36-3.49, 6 Tm 3.37-3.69
Tm4 0.2441 0.2109 0.6973 (multiplicity 8)  2 Pm 3.23-3.38, 2 Er 3.24-3.56, 5 Tm 3.26-3.39


Here is a relaxed Mg6AlHg3 crystal from Alexandria. Energies are from PBE.

Properties
- energy of formation from the pure elements (eV per atom) = -0.13
- V (Å³/f.u.) = 210.6

Lattice parameters (Å, degrees): 8.3840 4.9477 10.8278 90.00 110.33 90.00
Closest atoms and distances in Å follow each position.
Space group P2_1/m (No. 11)
Asymmetric unit:
Mg1 0.0398 0.2500 0.4242 (multiplicity 2)  7 Hg 2.98-3.29, 5 Mg 3.11-3.28
Mg2 0.1650 0.7500 0.1743 (multiplicity 2)  5 Hg 2.94-3.11, 1 Al 3.03, 4 Mg 3.07-3.23
Mg3 0.2419 0.2500 0.0112 (multiplicity 2)  3 Al 2.95-3.02, 4 Hg 3.00-3.09, 4 Mg 3.21-3.30
Mg4 0.3473 0.2500 0.3264 (multiplicity 2)  8 Mg 3.07-3.21, 4 Hg 3.08-3.20
Mg5 0.3506 0.7500 0.7870 (multiplicity 2)  3 Al 2.95-3.02, 4 Hg 3.01-3.24, 4 Mg 3.18-3.28
Mg6 0.4238 0.2500 0.6306 (multiplicity 2)  4 Hg 2.90-3.01, 1 Al 2.97, 6 Mg 3.07-3.22
Al1 0.4623 0.7500 0.0769 (multiplicity 2)  8 Mg 2.95-3.03, 2 Al 3.17
Hg1 0.0373 0.7500 0.8728 (multiplicity 2)  9 Mg 2.94-3.20, 2 Hg 3.25
Hg2 0.1325 0.2500 0.7162 (multiplicity 2)  8 Mg 2.90-3.11
Hg3 0.2866 0.7500 0.4739 (multiplicity 2)  11 Mg 2.99-3.29


Here is a relaxed Cd2AgTe2 crystal from Alexandria. Energies are from PBE.

Properties
- polymorph energy (0 for the lowest one) (meV/atom) = 312
- formation energy (no corrections) (eV per atom) = 0.2623
- V (Å³/f.u.) = 149.9

Lattice parameters (Å, degrees): 4.8867 4.8867 12.5557 90.00 90.00 90.00
Closest atoms and distances in Å follow each position.
Space group I4/mmm (No. 139)
Asymmetric unit:
Cd1 0.0000 0.0000 0.1067 (multiplicity 4)  1 Cd 2.68
Ag1 0.0000 0.0000 0.5000 (multiplicity 2)  8 Cd 3.71, 8 Te 3.98
Te1 0.0000 0.5000 0.2500 (multiplicity 4)  4 Cd 3.03


- What is the formula in the third record?
  Cd2AgTe2


- V of number 3 (Cd2AgTe2)?
  149.9 Å³/f.u.